Sm5Er2In4 after structural relaxation. Source: Alexandria, functional PBE.

Lattice parameters (Å, degrees): 8.721 3.425 10.654 90.00 95.60 90.00
Positions (direct):
Sm1 0.000 0.000 0.000
Sm2 0.038 0.000 0.334
Sm3 0.341 0.000 0.859
Sm4 0.659 0.000 0.141
Sm5 0.962 0.000 0.666
Er1 0.418 0.000 0.362
Er2 0.582 0.000 0.638
In1 0.257 0.500 0.576
In2 0.300 0.500 0.123
In3 0.700 0.500 0.877
In4 0.743 0.500 0.424

- D(E_F): 12.55 states/eV per cell
- Energy: -46.70 eV/cell
- SG: P2/m, No. 10
- Offset from the most stable computed form: 0 meV per atom
- Energy of formation from the pure elements: -0.275 eV per atom

---

Sm3ErIn3 after structural relaxation. Source: Alexandria, functional PBE.

Lattice parameters (Å, degrees): 9.199 9.199 5.528 90.00 90.00 120.00
Positions (direct):
Sm1 0.094 0.642 0.250
Sm2 0.358 0.452 0.250
Sm3 0.452 0.094 0.750
Sm4 0.548 0.906 0.250
Sm5 0.642 0.548 0.750
Sm6 0.906 0.358 0.750
Er1 0.333 0.667 0.750
Er2 0.667 0.333 0.250
In1 0.049 0.817 0.750
In2 0.183 0.231 0.750
In3 0.231 0.049 0.250
In4 0.769 0.951 0.750
In5 0.817 0.769 0.250
In6 0.951 0.183 0.250

- D(E_F): 15.30 states/eV per cell
- Energy: -56.86 eV/cell
- SG: P6_3/m, No. 176
- Offset from the most stable computed form: 109 meV per atom
- Energy of formation from the pure elements: -0.214 eV per atom

---

SmEr5In2 after structural relaxation. Source: Alexandria, functional PBE.

Lattice parameters (Å, degrees): 3.564 10.416 12.677 90.00 90.00 90.00
Positions (direct):
Sm1 0.000 0.000 0.000
Sm2 0.500 0.500 0.500
Er1 0.000 0.227 0.366
Er2 0.000 0.227 0.634
Er3 0.000 0.500 0.000
Er4 0.000 0.773 0.366
Er5 0.000 0.773 0.634
Er6 0.500 0.000 0.500
Er7 0.500 0.273 0.134
Er8 0.500 0.273 0.866
Er9 0.500 0.727 0.134
Er10 0.500 0.727 0.866
In1 0.000 0.500 0.258
In2 0.000 0.500 0.742
In3 0.500 0.000 0.242
In4 0.500 0.000 0.758

- D(E_F): 22.23 states/eV per cell
- Energy: -68.85 eV/cell
- SG: Immm, No. 71
- Energy of formation from the pure elements: -0.177 eV per atom

---

Sm2Er2In7 after structural relaxation. Source: Alexandria, functional PBE.

Lattice parameters (Å, degrees): 7.652 7.652 6.067 90.00 90.00 96.13
Positions (direct):
Sm1 0.198 0.198 0.000
Sm2 0.802 0.802 0.000
Er1 0.268 0.732 0.500
Er2 0.732 0.268 0.500
In1 0.000 0.000 0.500
In2 0.000 0.500 0.237
In3 0.000 0.500 0.763
In4 0.500 0.000 0.237
In5 0.500 0.000 0.763
In6 0.500 0.500 0.237
In7 0.500 0.500 0.763

- D(E_F): 6.75 states/eV per cell
- Energy: -37.44 eV/cell
- SG: Cmmm, No. 65
- Energy of formation from the pure elements: 0.027 eV per atom

---

Sm3ErIn12 after structural relaxation. Source: Alexandria, functional PBE.

Lattice parameters (Å, degrees): 4.667 4.667 18.743 90.00 90.00 90.00
Positions (direct):
Sm1 0.000 0.000 0.000
Sm2 0.000 0.000 0.252
Sm3 0.000 0.000 0.748
Er1 0.000 0.000 0.500
In1 0.000 0.500 0.126
In2 0.000 0.500 0.378
In3 0.000 0.500 0.622
In4 0.000 0.500 0.874
In5 0.500 0.000 0.126
In6 0.500 0.000 0.378
In7 0.500 0.000 0.622
In8 0.500 0.000 0.874
In9 0.500 0.500 0.000
In10 0.500 0.500 0.251
In11 0.500 0.500 0.500
In12 0.500 0.500 0.749

- D(E_F): 9.74 states/eV per cell
- Energy: -58.53 eV/cell
- SG: P4/mmm, No. 123
- Energy of formation from the pure elements: -0.434 eV per atom

---

Sm2Er7In3 after structural relaxation. Source: Alexandria, functional PBE.

Lattice parameters (Å, degrees): 17.822 17.822 3.656 90.00 90.00 162.25
Positions (direct):
Sm1 0.174 0.826 0.000
Sm2 0.826 0.174 0.000
Er1 0.000 0.000 0.000
Er2 0.090 0.910 0.500
Er3 0.274 0.726 0.000
Er4 0.428 0.572 0.000
Er5 0.572 0.428 0.000
Er6 0.726 0.274 0.000
Er7 0.910 0.090 0.500
In1 0.352 0.648 0.500
In2 0.500 0.500 0.500
In3 0.648 0.352 0.500

- D(E_F): 16.16 states/eV per cell
- Energy: -51.06 eV/cell
- SG: Cmmm, No. 65
- Energy of formation from the pure elements: -0.122 eV per atom

---

Sm4Er9In11 after structural relaxation. Source: Alexandria, functional PBE.

Lattice parameters (Å, degrees): 14.145 14.145 3.468 90.00 90.00 111.32
Positions (direct):
Sm1 0.094 0.256 0.000
Sm2 0.256 0.094 0.000
Sm3 0.744 0.906 0.000
Sm4 0.906 0.744 0.000
Er1 0.000 0.000 0.000
Er2 0.111 0.667 0.000
Er3 0.297 0.491 0.000
Er4 0.333 0.889 0.000
Er5 0.491 0.297 0.000
Er6 0.509 0.703 0.000
Er7 0.667 0.111 0.000
Er8 0.703 0.509 0.000
Er9 0.889 0.333 0.000
In1 0.091 0.461 0.500
In2 0.121 0.879 0.500
In3 0.302 0.302 0.500
In4 0.311 0.689 0.500
In5 0.461 0.091 0.500
In6 0.500 0.500 0.500
In7 0.539 0.909 0.500
In8 0.689 0.311 0.500
In9 0.698 0.698 0.500
In10 0.879 0.121 0.500
In11 0.909 0.539 0.500

- D(E_F): 19.02 states/eV per cell
- Energy: -99.34 eV/cell
- SG: Cmmm, No. 65
- Energy of formation from the pure elements: -0.386 eV per atom

---

SmEr3In after structural relaxation. Source: Alexandria, functional PBE.

Lattice parameters (Å, degrees): 8.491 8.491 11.101 90.00 90.00 155.96
Positions (direct):
Sm1 0.018 0.982 0.750
Sm2 0.982 0.018 0.250
Er1 0.156 0.844 0.010
Er2 0.156 0.844 0.490
Er3 0.297 0.703 0.250
Er4 0.703 0.297 0.750
Er5 0.844 0.156 0.510
Er6 0.844 0.156 0.990
In1 0.360 0.640 0.750
In2 0.640 0.360 0.250

- D(E_F): 16.89 states/eV per cell
- Energy: -42.11 eV/cell
- SG: Cmcm, No. 63
- Offset from the most stable computed form: 193 meV per atom
- Energy of formation from the pure elements: 0.018 eV per atom

---

Sm2ErIn after structural relaxation. Source: Alexandria, functional PBE.

Lattice parameters (Å, degrees): 4.874 4.874 4.928 90.00 90.00 90.00
Positions (direct):
Sm1 0.000 0.500 0.000
Sm2 0.500 0.000 0.000
Er1 0.000 0.000 0.500
In1 0.500 0.500 0.500

- D(E_F): 6.28 states/eV per cell
- Energy: -17.80 eV/cell
- SG: P4/mmm, No. 123
- Offset from the most stable computed form: 0 meV per atom
- Energy of formation from the pure elements: -0.266 eV per atom

---

Sm2ErIn2 after structural relaxation. Source: Alexandria, functional PBE.

Lattice parameters (Å, degrees): 4.961 6.943 8.557 90.00 90.00 90.00
Positions (direct):
Sm1 0.000 0.000 0.193
Sm2 0.000 0.000 0.807
Sm3 0.500 0.500 0.307
Sm4 0.500 0.500 0.693
Er1 0.000 0.500 0.000
Er2 0.500 0.000 0.500
In1 0.000 0.287 0.500
In2 0.000 0.713 0.500
In3 0.500 0.213 0.000
In4 0.500 0.787 0.000

- D(E_F): 11.01 states/eV per cell
- Energy: -42.65 eV/cell
- SG: Immm, No. 71
- Offset from the most stable computed form: 4 meV per atom
- Energy of formation from the pure elements: -0.369 eV per atom

---

Sm3Er2In2 after structural relaxation. Source: Alexandria, functional PBE.

Lattice parameters (Å, degrees): 4.972 23.710 3.498 90.00 90.00 90.00
Positions (direct):
Sm1 0.000 0.000 0.000
Sm2 0.000 0.143 0.000
Sm3 0.000 0.857 0.000
Sm4 0.500 0.357 0.000
Sm5 0.500 0.500 0.000
Sm6 0.500 0.643 0.000
Er1 0.000 0.287 0.500
Er2 0.000 0.713 0.500
Er3 0.500 0.213 0.500
Er4 0.500 0.787 0.500
In1 0.000 0.429 0.500
In2 0.000 0.571 0.500
In3 0.500 0.071 0.500
In4 0.500 0.929 0.500

- D(E_F): 16.07 states/eV per cell
- Energy: -59.78 eV/cell
- SG: Cmmm, No. 65
- Offset from the most stable computed form: 0 meV per atom
- Energy of formation from the pure elements: -0.161 eV per atom

---

SmEr4In2 after structural relaxation. Source: Alexandria, functional PBE.

Lattice parameters (Å, degrees): 6.396 10.737 6.761 90.00 114.54 90.00
Positions (direct):
Sm1 0.000 0.000 0.000
Sm2 0.000 0.500 0.500
Er1 0.003 0.169 0.500
Er2 0.003 0.331 0.000
Er3 0.496 0.723 0.499
Er4 0.496 0.777 0.999
Er5 0.504 0.223 0.001
Er6 0.504 0.277 0.501
Er7 0.997 0.669 0.000
Er8 0.997 0.831 0.500
In1 0.446 0.501 0.190
In2 0.446 0.999 0.690
In3 0.554 0.001 0.310
In4 0.554 0.499 0.810

- D(E_F): 16.89 states/eV per cell
- Energy: -58.66 eV/cell
- SG: P2_1/c, No. 14
- Offset from the most stable computed form: 35 meV per atom
- Energy of formation from the pure elements: -0.126 eV per atom

---

SmEr2In3 after structural relaxation. Source: Alexandria, functional PBE.

Lattice parameters (Å, degrees): 3.736 3.736 11.469 90.00 90.00 90.00
Positions (direct):
Sm1 0.000 0.000 0.000
Er1 0.000 0.000 0.338
Er2 0.000 0.000 0.662
In1 0.500 0.500 0.176
In2 0.500 0.500 0.500
In3 0.500 0.500 0.824

- D(E_F): 3.31 states/eV per cell
- Energy: -24.82 eV/cell
- SG: P4/mmm, No. 123
- Energy of formation from the pure elements: -0.459 eV per atom

---

Sm3ErIn after structural relaxation. Source: Alexandria, functional PBE.

Lattice parameters (Å, degrees): 7.860 7.860 7.860 87.21 116.13 127.47
Positions (direct):
Sm1 0.248 0.029 0.278
Sm2 0.248 0.471 0.719
Sm3 0.689 0.504 0.685
Sm4 0.752 0.529 0.281
Sm5 0.752 0.971 0.722
Sm6 0.820 0.004 0.315
Er1 0.261 0.762 0.999
Er2 0.763 0.262 0.001
In1 0.196 0.007 0.689
In2 0.318 0.507 0.311

- D(E_F): 14.01 states/eV per cell
- Energy: -41.23 eV/cell
- SG: Ima2, No. 46
- Offset from the most stable computed form: 358 meV per atom
- Energy of formation from the pure elements: 0.169 eV per atom

---

Sm2ErIn4 after structural relaxation. Source: Alexandria, functional PBE.

Lattice parameters (Å, degrees): 5.626 5.626 15.896 90.00 90.00 90.00
Positions (direct):
Sm1 0.000 0.000 0.108
Sm2 0.000 0.000 0.892
Sm3 0.500 0.500 0.392
Sm4 0.500 0.500 0.608
Er1 0.000 0.000 0.500
Er2 0.500 0.500 0.000
In1 0.000 0.000 0.310
In2 0.000 0.000 0.690
In3 0.000 0.500 0.000
In4 0.000 0.500 0.500
In5 0.500 0.000 0.000
In6 0.500 0.000 0.500
In7 0.500 0.500 0.190
In8 0.500 0.500 0.810

- D(E_F): 22.75 states/eV per cell
- Energy: -47.84 eV/cell
- SG: I4/mmm, No. 139
- Offset from the most stable computed form: 472 meV per atom
- Energy of formation from the pure elements: 0.148 eV per atom

---

SmErIn2 after structural relaxation. Source: Alexandria, functional PBE.

Lattice parameters (Å, degrees): 3.779 3.779 7.568 90.00 90.00 90.00
Positions (direct):
Sm1 0.000 0.000 0.000
Er1 0.000 0.000 0.500
In1 0.500 0.500 0.260
In2 0.500 0.500 0.740

- D(E_F): 2.37 states/eV per cell
- Energy: -16.64 eV/cell
- SG: P4/mmm, No. 123
- Offset from the most stable computed form: 0 meV per atom
- Energy of formation from the pure elements: -0.469 eV per atom

---

Sm4Er3In after structural relaxation. Source: Alexandria, functional PBE.

Lattice parameters (Å, degrees): 10.026 6.986 7.048 90.00 90.00 90.00
Positions (direct):
Sm1 0.000 0.000 0.000
Sm2 0.000 0.499 0.501
Sm3 0.249 0.748 0.251
Sm4 0.251 0.252 0.751
Sm5 0.500 0.000 0.500
Sm6 0.500 0.501 0.001
Sm7 0.749 0.252 0.751
Sm8 0.751 0.748 0.251
Er1 0.000 0.500 0.000
Er2 0.250 0.244 0.250
Er3 0.250 0.756 0.750
Er4 0.500 0.500 0.500
Er5 0.750 0.244 0.250
Er6 0.750 0.756 0.750
In1 0.000 0.000 0.500
In2 0.500 0.000 0.000

- D(E_F): 23.25 states/eV per cell
- Energy: -71.84 eV/cell
- SG: Pmn2_1, No. 31
- Offset from the most stable computed form: 17 meV per atom
- Energy of formation from the pure elements: -0.077 eV per atom

---

Sm5ErIn4 after structural relaxation. Source: Alexandria, functional PBE.

Lattice parameters (Å, degrees): 3.622 3.622 22.161 90.00 90.00 90.00
Positions (direct):
Sm1 0.000 0.000 0.000
Sm2 0.000 0.000 0.194
Sm3 0.000 0.000 0.386
Sm4 0.000 0.000 0.614
Sm5 0.000 0.000 0.806
Er1 0.500 0.500 0.500
In1 0.500 0.500 0.097
In2 0.500 0.500 0.290
In3 0.500 0.500 0.710
In4 0.500 0.500 0.903

- D(E_F): 8.54 states/eV per cell
- Energy: -42.90 eV/cell
- SG: P4/mmm, No. 123
- Energy of formation from the pure elements: -0.379 eV per atom

---

Sm5Er3In after structural relaxation. Source: Alexandria, functional PBE.

Lattice parameters (Å, degrees): 7.894 7.894 11.369 95.23 95.23 60.41
Positions (direct):
Sm1 0.009 0.009 0.371
Sm2 0.159 0.587 0.246
Sm3 0.169 0.831 0.000
Sm4 0.262 0.262 0.963
Sm5 0.413 0.841 0.754
Sm6 0.587 0.159 0.246
Sm7 0.738 0.738 0.037
Sm8 0.831 0.169 0.000
Sm9 0.841 0.413 0.754
Sm10 0.991 0.991 0.629
Er1 0.168 0.168 0.215
Er2 0.242 0.242 0.524
Er3 0.500 0.500 0.000
Er4 0.500 0.500 0.500
Er5 0.758 0.758 0.476
Er6 0.832 0.832 0.785
In1 0.404 0.404 0.742
In2 0.596 0.596 0.258

- D(E_F): 23.68 states/eV per cell
- Energy: -73.03 eV/cell
- SG: C2/m, No. 12
- Energy of formation from the pure elements: 0.390 eV per atom

---

Sm6ErIn after structural relaxation. Source: Alexandria, functional PBE.

Lattice parameters (Å, degrees): 6.692 11.545 6.608 90.00 90.10 90.00
Positions (direct):
Sm1 0.071 0.000 0.247
Sm2 0.218 0.285 0.247
Sm3 0.218 0.715 0.247
Sm4 0.282 0.215 0.753
Sm5 0.282 0.785 0.753
Sm6 0.429 0.500 0.753
Sm7 0.571 0.500 0.247
Sm8 0.718 0.215 0.247
Sm9 0.718 0.785 0.247
Sm10 0.782 0.285 0.753
Sm11 0.782 0.715 0.753
Sm12 0.929 0.000 0.753
Er1 0.000 0.500 0.500
Er2 0.500 0.000 0.500
In1 0.000 0.500 0.000
In2 0.500 0.000 0.000

- D(E_F): 20.14 states/eV per cell
- Energy: -71.04 eV/cell
- SG: C2/m, No. 12
- Offset from the most stable computed form: 131 meV per atom
- Energy of formation from the pure elements: 0.012 eV per atom